No. 1
Entry from Alexandria: a relaxed structure of BaZrBe2 (PBE).

a = 4.3644 Å, b = 4.3644 Å, c = 18.3012 Å
α = 90.00°, β = 90.00°, γ = 120.00°
Space group R-3m (No. 166, hexagonal axes)
Unique sites:
Ba 0.0000 0.0000 0.0000 (multiplicity 3)
Zr 0.0000 0.0000 0.5000 (multiplicity 3)
Be 0.0000 0.0000 0.1815 (multiplicity 6)

Properties
Polymorph energy (0 for the lowest one): 154 meV per atom
Total moment: 2.11 μB per cell
ΔE_f: 0.408 eV per atom

No. 2
Entry from Alexandria: a relaxed structure of Ba2ZrBe (PBE).

a = 3.6018 Å, b = 4.0692 Å, c = 19.0110 Å
α = 90.00°, β = 90.00°, γ = 90.00°
Space group Immm (No. 71)
Unique sites:
Ba 0.0000 0.0000 0.1504 (multiplicity 4)
Zr 0.0000 0.5000 0.0000 (multiplicity 2)
Be 0.0000 0.5000 0.5000 (multiplicity 2)

Properties
Total moment: 1.73 μB per cell
ΔE_f: 0.473 eV per atom

No. 3
Entry from Alexandria: a relaxed structure of Ba2ZrBe (PBE).

a = 11.4571 Å, b = 11.4571 Å, c = 4.9538 Å
α = 90.00°, β = 90.00°, γ = 90.00°
Space group I-42d (No. 122)
Unique sites:
Ba 0.1022 0.2500 0.1250 (multiplicity 8)
Zr 0.0000 0.0000 0.5000 (multiplicity 4)
Be 0.0000 0.0000 0.0000 (multiplicity 4)

Properties
Total moment: 4.14 μB per cell
ΔE_f: 0.817 eV per atom

No. 4
Entry from Alexandria: a relaxed structure of BaZr2Be (PBE).

a = 11.9344 Å, b = 3.3408 Å, c = 5.4658 Å
α = 90.00°, β = 115.07°, γ = 90.00°
Space group C2/m (No. 12)
Unique sites:
Ba 0.0000 0.0000 0.0000 (multiplicity 2)
Zr 0.2008 0.0000 0.6870 (multiplicity 4)
Be 0.0000 0.5000 0.5000 (multiplicity 2)

Properties
Total moment: 0.00 μB per cell
ΔE_f: 0.447 eV per atom

Please write out number 3 again, unchanged.
Entry from Alexandria: a relaxed structure of Ba2ZrBe (PBE).

a = 11.4571 Å, b = 11.4571 Å, c = 4.9538 Å
α = 90.00°, β = 90.00°, γ = 90.00°
Space group I-42d (No. 122)
Unique sites:
Ba 0.1022 0.2500 0.1250 (multiplicity 8)
Zr 0.0000 0.0000 0.5000 (multiplicity 4)
Be 0.0000 0.0000 0.0000 (multiplicity 4)

Properties
Total moment: 4.14 μB per cell
ΔE_f: 0.817 eV per atom

> Which of these has the highest ΔE_f?

number 3

> Which of these has the lowest ΔE_f?

BaZrBe2

Repeat the first record exactly.
Entry from Alexandria: a relaxed structure of BaZrBe2 (PBE).

a = 4.3644 Å, b = 4.3644 Å, c = 18.3012 Å
α = 90.00°, β = 90.00°, γ = 120.00°
Space group R-3m (No. 166, hexagonal axes)
Unique sites:
Ba 0.0000 0.0000 0.0000 (multiplicity 3)
Zr 0.0000 0.0000 0.5000 (multiplicity 3)
Be 0.0000 0.0000 0.1815 (multiplicity 6)

Properties
Polymorph energy (0 for the lowest one): 154 meV per atom
Total moment: 2.11 μB per cell
ΔE_f: 0.408 eV per atom